# SrHf2ZnN4 GGA-PBE relaxed
# ΔE_f (raw) = -1210 meV/atom
data_SrHf2ZnN4
_chemical_formula_sum 'Sr4 Hf8 Zn4 N16'
_space_group_name_H-M_alt 'C m c m'
_space_group_IT_number 63
_space_group_name_Hall '-C 2c 2'
_cell_length_a 3.322
_cell_length_b 11.122
_cell_length_c 11.421
_cell_angle_alpha 90.00
_cell_angle_beta 90.00
_cell_angle_gamma 90.00
loop_
_atom_site_label
_atom_site_type_symbol
_atom_site_fract_x
_atom_site_fract_y
_atom_site_fract_z
_atom_site_occupancy
Sr1 Sr 0.000 0.102 0.250 1
Hf1 Hf 0.000 0.366 0.050 1
Zn1 Zn 0.000 0.166 0.750 1
N1 N 0.000 0.000 0.000 1
N2 N 0.000 0.258 0.602 1
N3 N 0.000 0.432 0.250 1

***

# Ac2PmPrY GGA-PBE relaxed
# N(E_F) = 13.0 states/eV/cell
# Formation energy from the elements = 1.35 eV/f.u.
data_Ac2PmPrY
_chemical_formula_sum 'Ac4 Pm2 Pr2 Y2'
_space_group_name_H-M_alt 'P 1 2/c 1'
_space_group_IT_number 13
_cell_length_a 9.020
_cell_length_b 6.920
_cell_length_c 6.402
_cell_angle_alpha 90.00
_cell_angle_beta 90.08
_cell_angle_gamma 90.00
loop_
_space_group_symop_operation_xyz
'x,y,z'
'-x,-y,-z'
'-x,y,-z+1/2'
'x,-y,z+1/2'
loop_
_atom_site_label
_atom_site_type_symbol
_atom_site_fract_x
_atom_site_fract_y
_atom_site_fract_z
_atom_site_occupancy
Ac1 Ac 0.200 0.197 0.250 1
Pm1 Pm 0.500 0.080 0.750 1
Pr1 Pr 0.500 0.500 0.000 1
Y1 Y 0.000 0.339 0.750 1

***

# NdZnPbAu GGA-PBE relaxed
# N(E_F) = 3.7 states/eV/cell
# Formation energy from the elements = -1.70 eV/f.u.
data_NdZnPbAu
_chemical_formula_sum 'Nd4 Zn4 Pb4 Au4'
_space_group_name_H-M_alt 'F -4 3 m'
_space_group_IT_number 216
_space_group_name_Hall 'F -4 2 3'
_cell_length_a 7.244
_cell_length_b 7.244
_cell_length_c 7.244
_cell_angle_alpha 90.00
_cell_angle_beta 90.00
_cell_angle_gamma 90.00
loop_
_atom_site_label
_atom_site_type_symbol
_atom_site_fract_x
_atom_site_fract_y
_atom_site_fract_z
_atom_site_occupancy
Nd1 Nd 0.000 0.000 0.000 1
Zn1 Zn 0.250 0.250 0.250 1
Pb1 Pb 0.000 0.000 0.500 1
Au1 Au 0.250 0.250 0.750 1

***

# Ba2TcPt GGA-PBE relaxed
# N(E_F) = 7.0 states/eV/cell
# Energy above the most stable polymorph in this dataset = 0.000 eV per atom
# Formation energy from the elements = -0.17 eV/f.u.
data_Ba2TcPt
_chemical_formula_sum 'Ba6 Tc3 Pt3'
_space_group_name_H-M_alt 'R 3 m'
_space_group_IT_number 160
_space_group_name_Hall 'R 3 -2"'
_cell_length_a 4.4687
_cell_length_b 4.4687
_cell_length_c 26.3955
_cell_angle_alpha 90.00
_cell_angle_beta 90.00
_cell_angle_gamma 120.00
loop_
_atom_site_label
_atom_site_type_symbol
_atom_site_fract_x
_atom_site_fract_y
_atom_site_fract_z
_atom_site_occupancy
Ba1 Ba 0.0000 0.0000 0.0000 1
Ba2 Ba 0.0000 0.0000 0.1675 1
Tc1 Tc 0.0000 0.0000 0.4170 1
Pt1 Pt 0.0000 0.0000 0.7505 1

***

M_tot (Bohr magnetons per cell)
0.000; 0.000; 0.000; 6.801